1.
This record from the Alexandria database describes crystalline BaGa2OsO8 at its relaxed geometry. The functional is PBE.

Unit cell a=4.599 b=4.668 c=7.567 alpha=94.51 beta=90.44 gamma=90.70
Element x y z (fractional)
1 Ba 0.000 0.000 0.000
2 Ga 0.496 0.508 0.685
3 Ga 0.504 0.492 0.315
4 Os 0.000 0.000 0.500
5 O 0.202 0.218 0.700
6 O 0.212 0.176 0.320
7 O 0.288 0.700 0.502
8 O 0.448 0.394 0.061
9 O 0.552 0.606 0.939
10 O 0.712 0.300 0.498
11 O 0.788 0.824 0.680
12 O 0.798 0.782 0.300

- space-group type = P-1, No. 2
- E_form (uncorrected) (kcal/mol of atoms) = -33.37

---

2.
This record from the Alexandria database describes crystalline LiDy2Sc at its relaxed geometry. The functional is PBE.

Unit cell a=7.534 b=7.534 c=7.534 alpha=90.00 beta=90.00 gamma=90.00
Element x y z (fractional)
1 Li 0.000 0.000 0.000
2 Li 0.000 0.500 0.500
3 Li 0.500 0.000 0.500
4 Li 0.500 0.500 0.000
5 Dy 0.250 0.250 0.250
6 Dy 0.250 0.250 0.750
7 Dy 0.250 0.750 0.250
8 Dy 0.250 0.750 0.750
9 Dy 0.750 0.250 0.250
10 Dy 0.750 0.250 0.750
11 Dy 0.750 0.750 0.250
12 Dy 0.750 0.750 0.750
13 Sc 0.000 0.000 0.500
14 Sc 0.000 0.500 0.000
15 Sc 0.500 0.000 0.000
16 Sc 0.500 0.500 0.500

- space-group type = Fm-3m, No. 225
- energy of formation from the pure elements (meV per atom) = 154
- energy above the lowest structure with this stoichiometry (eV per atom) = 0.0686

---

3.
This record from the Alexandria database describes crystalline La2Pr3Sm7 at its relaxed geometry. The functional is PBE.

Unit cell a=6.519 b=3.611 c=18.026 alpha=90.00 beta=96.34 gamma=90.00
Element x y z (fractional)
1 La 0.056 0.000 0.171
2 La 0.944 0.000 0.829
3 Pr 0.454 0.500 0.840
4 Pr 0.500 0.000 0.500
5 Pr 0.546 0.500 0.160
6 Sm 0.000 0.500 0.500
7 Sm 0.226 0.000 0.665
8 Sm 0.256 0.000 0.000
9 Sm 0.273 0.500 0.336
10 Sm 0.727 0.500 0.664
11 Sm 0.744 0.000 0.000
12 Sm 0.774 0.000 0.335

- space-group type = P2/m, No. 10
- energy of formation from the pure elements (meV per atom) = 73
- energy above the lowest structure with this stoichiometry (eV per atom) = 0.0000

---

4.
This record from the Alexandria database describes crystalline PuNi5P2 at its relaxed geometry. The functional is PBE.

Unit cell a=3.678 b=6.480 c=8.813 alpha=90.00 beta=90.00 gamma=90.00
Element x y z (fractional)
1 Pu 0.000 0.000 0.000
2 Pu 0.500 0.500 0.500
3 Ni 0.000 0.189 0.347
4 Ni 0.000 0.189 0.653
5 Ni 0.000 0.500 0.000
6 Ni 0.000 0.811 0.347
7 Ni 0.000 0.811 0.653
8 Ni 0.500 0.000 0.500
9 Ni 0.500 0.311 0.153
10 Ni 0.500 0.311 0.847
11 Ni 0.500 0.689 0.153
12 Ni 0.500 0.689 0.847
13 P 0.000 0.500 0.247
14 P 0.000 0.500 0.753
15 P 0.500 0.000 0.253
16 P 0.500 0.000 0.747

- space-group type = Immm, No. 71
- energy of formation from the pure elements (meV per atom) = -602

---

5.
This record from the Alexandria database describes crystalline NpTeClO6 at its relaxed geometry. The functional is PBE.

Unit cell a=7.626 b=7.626 c=7.626 alpha=123.36 beta=117.32 gamma=89.50
Element x y z (fractional)
1 Np 0.000 0.000 0.000
2 Np 0.500 0.000 0.500
3 Te 0.500 0.000 0.000
4 Te 0.500 0.500 0.500
5 Cl 0.080 0.330 0.750
6 Cl 0.920 0.670 0.250
7 O 0.198 0.948 0.250
8 O 0.204 0.320 0.267
9 O 0.204 0.938 0.884
10 O 0.431 0.681 0.750
11 O 0.446 0.062 0.767
12 O 0.446 0.680 0.384
13 O 0.554 0.320 0.616
14 O 0.554 0.938 0.233
15 O 0.569 0.319 0.250
16 O 0.796 0.062 0.116
17 O 0.796 0.680 0.733
18 O 0.802 0.052 0.750

- space-group type = Imma, No. 74
- E_form (uncorrected) (kcal/mol of atoms) = -32.70

---

6.
This record from the Alexandria database describes crystalline Tb7PmNd12 at its relaxed geometry. The functional is PBE.

Unit cell a=9.469 b=9.469 c=9.469 alpha=107.85 beta=107.85 gamma=107.85
Element x y z (fractional)
1 Tb 0.000 0.000 0.000
2 Tb 0.180 0.492 0.605
3 Tb 0.395 0.820 0.508
4 Tb 0.492 0.605 0.180
5 Tb 0.508 0.395 0.820
6 Tb 0.605 0.180 0.492
7 Tb 0.820 0.508 0.395
8 Pm 0.500 0.500 0.500
9 Nd 0.093 0.448 0.204
10 Nd 0.122 0.278 0.828
11 Nd 0.172 0.878 0.722
12 Nd 0.204 0.093 0.448
13 Nd 0.278 0.828 0.122
14 Nd 0.448 0.204 0.093
15 Nd 0.552 0.796 0.907
16 Nd 0.722 0.172 0.878
17 Nd 0.796 0.907 0.552
18 Nd 0.828 0.122 0.278
19 Nd 0.878 0.722 0.172
20 Nd 0.907 0.551 0.796

- space-group type = R-3, No. 148
- energy of formation from the pure elements (meV per atom) = 149
- energy above the lowest structure with this stoichiometry (eV per atom) = 0.0000

---

7.
This record from the Alexandria database describes crystalline NaSm2Ga at its relaxed geometry. The functional is PBE.

Unit cell a=5.182 b=5.182 c=4.017 alpha=90.00 beta=90.00 gamma=90.00
Element x y z (fractional)
1 Na 0.000 0.000 0.000
2 Sm 0.000 0.500 0.500
3 Sm 0.500 0.000 0.500
4 Ga 0.500 0.500 0.000

- space-group type = P4/mmm, No. 123
- energy of formation from the pure elements (meV per atom) = -106
- energy above the lowest structure with this stoichiometry (eV per atom) = 0.0659

---

8.
This record from the Alexandria database describes crystalline Ti2ReP2 at its relaxed geometry. The functional is PBE.

Unit cell a=6.880 b=6.880 c=3.127 alpha=90.00 beta=90.00 gamma=90.00
Element x y z (fractional)
1 Ti 0.142 0.358 0.000
2 Ti 0.358 0.858 0.000
3 Ti 0.642 0.142 0.000
4 Ti 0.858 0.642 0.000
5 Re 0.000 0.000 0.000
6 Re 0.500 0.500 0.000
7 P 0.164 0.664 0.500
8 P 0.336 0.164 0.500
9 P 0.664 0.836 0.500
10 P 0.836 0.336 0.500

- space-group type = P4/mbm, No. 127
- energy of formation from the pure elements (meV per atom) = -164
- energy above the lowest structure with this stoichiometry (eV per atom) = 0.6834

---

Quick rundown of M_tot, same order as above: 2.01; 0.00; 0.00; 5.29; 1.49; 0.00; 0.00; 0.00 μB per formula unit
Quick rundown of N(E_F), same order as above: 0.235; 1.022; 1.619; 1.866; 1.082; 1.699; 0.817; 1.169 states/eV/atom
Quick rundown of theoretical density, same order as above: 6.10; 5.85; 6.90; 9.48; 5.30; 7.19; 6.06; 7.72 g/cm3